(1)
VASP calculation (PBE) on a relaxed Pm4As2PSe crystal.

Formation energy from raw total energies, eV/atom: -1.667
DOS(E_F), states/eV/f.u.: 1.38
Symmetry: P2/m, No. 10
Density, Mg/m³: 6.6

Unit cell a=4.203 b=7.267 c=7.287 alpha=70.62 beta=90.00 gamma=90.00
Fractional positions:
Pm 0.000 0.753 0.742
Pm 0.000 0.247 0.258
Pm 0.500 0.748 0.257
Pm 0.500 0.252 0.743
As 0.000 0.000 0.000
As 0.500 0.000 0.500
P 0.000 0.500 0.500
Se 0.500 0.500 0.000

=====

(2)
VASP calculation (PBE) on a relaxed Pm4AsP2Se crystal.

Formation energy from raw total energies, eV/atom: -1.689
DOS(E_F), states/eV/f.u.: 1.30
Symmetry: P2/m, No. 10
Density, Mg/m³: 6.4

Unit cell a=4.169 b=7.247 c=7.219 alpha=70.70 beta=90.00 gamma=90.00
Fractional positions:
Pm 0.000 0.763 0.742
Pm 0.000 0.237 0.258
Pm 0.500 0.759 0.250
Pm 0.500 0.241 0.750
As 0.000 0.500 0.500
P 0.000 0.000 0.000
P 0.500 0.000 0.500
Se 0.500 0.500 0.000

=====

(3)
VASP calculation (PBE) on a relaxed Pm6As3P2Se crystal.

Formation energy from raw total energies, eV/atom: -1.631
DOS(E_F), states/eV/f.u.: 1.92
Symmetry: C2/m, No. 12
Density, Mg/m³: 6.5

Unit cell a=4.196 b=8.405 c=9.374 alpha=102.80 beta=102.93 gamma=90.00
Fractional positions:
Pm 0.331 0.910 0.661
Pm 0.669 0.580 0.337
Pm 0.669 0.090 0.339
Pm 0.002 0.258 0.004
Pm 0.998 0.742 0.996
Pm 0.331 0.420 0.663
As 0.500 0.500 0.000
As 0.835 0.166 0.670
As 0.165 0.834 0.330
P 0.833 0.667 0.667
P 0.167 0.333 0.333
Se 0.500 0.000 0.000

=====

(4)
VASP calculation (PBE) on a relaxed Pm6As2P3Se crystal.

Formation energy from raw total energies, eV/atom: -1.644
DOS(E_F), states/eV/f.u.: 1.89
Symmetry: C2/m, No. 12
Density, Mg/m³: 6.4

Unit cell a=4.174 b=8.374 c=9.344 alpha=103.05 beta=102.91 gamma=90.00
Fractional positions:
Pm 0.330 0.920 0.660
Pm 0.666 0.587 0.331
Pm 0.670 0.080 0.340
Pm 0.998 0.260 0.997
Pm 0.002 0.740 0.003
Pm 0.334 0.413 0.669
As 0.834 0.668 0.668
As 0.166 0.332 0.332
P 0.500 0.500 0.000
P 0.834 0.166 0.668
P 0.166 0.834 0.332
Se 0.500 0.000 0.000

=====

(5)
VASP calculation (PBE) on a relaxed Pm8AsP4Se3 crystal.

Formation energy from raw total energies, eV/atom: -1.742
DOS(E_F), states/eV/f.u.: 4.67
Symmetry: R-3m, No. 166
Density, Mg/m³: 6.4

Unit cell a=8.317 b=8.373 c=8.317 alpha=119.78 beta=120.00 gamma=90.00
Fractional positions:
Pm 0.253 0.764 0.011
Pm 0.253 0.764 0.506
Pm 0.244 0.231 0.488
Pm 0.758 0.764 0.011
Pm 0.242 0.236 0.989
Pm 0.756 0.769 0.512
Pm 0.747 0.236 0.494
Pm 0.747 0.236 0.989
As 0.000 0.500 0.000
P 0.500 0.000 0.000
P 0.500 0.000 0.500
P 0.000 0.000 0.000
P 0.000 0.000 0.500
Se 0.500 0.500 0.000
Se 0.500 0.500 0.500
Se 0.000 0.500 0.500

=====

(6)
VASP calculation (PBE) on a relaxed Pm6AsP3Se2 crystal.

Formation energy from raw total energies, eV/atom: -1.721
DOS(E_F), states/eV/f.u.: 3.76
Symmetry: C2/m, No. 12
Density, Mg/m³: 6.4

Unit cell a=4.163 b=8.371 c=9.353 alpha=103.41 beta=102.86 gamma=90.00
Fractional positions:
Pm 0.332 0.927 0.664
Pm 0.662 0.594 0.323
Pm 0.668 0.073 0.336
Pm 0.997 0.252 0.994
Pm 0.003 0.748 0.006
Pm 0.338 0.406 0.677
As 0.500 0.000 0.000
P 0.500 0.500 0.000
P 0.833 0.167 0.665
P 0.167 0.833 0.335
Se 0.832 0.664 0.664
Se 0.168 0.336 0.336

=====

(7)
VASP calculation (PBE) on a relaxed Pm6As2PSe3 crystal.

Formation energy from raw total energies, eV/atom: -1.757
DOS(E_F), states/eV/f.u.: 4.50
Symmetry: C2/m, No. 12
Density, Mg/m³: 6.8

Unit cell a=4.192 b=8.439 c=9.430 alpha=103.50 beta=102.84 gamma=90.00
Fractional positions:
Pm 0.339 0.914 0.679
Pm 0.668 0.577 0.337
Pm 0.661 0.086 0.321
Pm 0.002 0.235 0.003
Pm 0.998 0.765 0.997
Pm 0.332 0.423 0.663
As 0.833 0.667 0.667
As 0.167 0.333 0.333
P 0.500 0.000 0.000
Se 0.500 0.500 0.000
Se 0.832 0.167 0.664
Se 0.168 0.833 0.336

=====

(8)
VASP calculation (PBE) on a relaxed Pm8As3PSe4 crystal.

Formation energy from raw total energies, eV/atom: -1.752
DOS(E_F), states/eV/f.u.: 5.96
Symmetry: R-3m, No. 166
Density, Mg/m³: 6.8

Unit cell a=8.394 b=8.449 c=8.394 alpha=119.78 beta=120.00 gamma=90.00
Fractional positions:
Pm 0.243 0.736 0.993
Pm 0.243 0.736 0.486
Pm 0.254 0.261 0.507
Pm 0.750 0.736 0.993
Pm 0.250 0.264 0.007
Pm 0.746 0.739 0.493
Pm 0.757 0.264 0.514
Pm 0.757 0.264 0.007
As 0.500 0.500 0.000
As 0.500 0.500 0.500
As 0.000 0.500 0.500
P 0.000 0.500 0.000
Se 0.500 0.000 0.000
Se 0.500 0.000 0.500
Se 0.000 0.000 0.000
Se 0.000 0.000 0.500